# 1
VASP calculation (PBE-GGA) on an optimized crystal structure of InNiBr3.

Properties
Crystal system: cubic
Volume in Å³/cell: 128.5
Energy in eV per atom: -3.074

The structure in CIF format:
```
data_InNiBr3
_symmetry_space_group_name_H-M 'P m -3 m'
_symmetry_Int_Tables_number 221
_symmetry_space_group_name_Hall '-P 4 2 3'
_cell_length_a 5.047
_cell_length_b 5.047
_cell_length_c 5.047
_cell_angle_alpha 90.00
_cell_angle_beta 90.00
_cell_angle_gamma 90.00
loop_
_atom_site_label
_atom_site_fract_x
_atom_site_fract_y
_atom_site_fract_z
In1 0.000 0.000 0.000
Ni1 0.500 0.500 0.500
Br1 0.000 0.500 0.500
```

# 2
VASP calculation (PBE-GGA) on an optimized crystal structure of RbLa3B.

Properties
Energy of formation in eV per atom: 0.365
Crystal system: cubic
Volume in Å³/cell: 177.7

The structure in CIF format:
```
data_RbLa3B
_symmetry_space_group_name_H-M 'P m -3 m'
_symmetry_Int_Tables_number 221
_symmetry_space_group_name_Hall '-P 4 2 3'
_cell_length_a 5.622
_cell_length_b 5.622
_cell_length_c 5.622
_cell_angle_alpha 90.00
_cell_angle_beta 90.00
_cell_angle_gamma 90.00
loop_
_atom_site_label
_atom_site_fract_x
_atom_site_fract_y
_atom_site_fract_z
Rb1 0.000 0.000 0.000
La1 0.000 0.500 0.500
B1 0.500 0.500 0.500
```

# 3
VASP calculation (PBE-GGA) on an optimized crystal structure of BeIr2Ru.

Properties
Energy of formation in eV per atom: 0.435
Crystal system: tetragonal
Volume in Å³/cell: 234.0

The structure in CIF format:
```
data_BeIr2Ru
_symmetry_space_group_name_H-M 'I -4 2 d'
_symmetry_Int_Tables_number 122
_symmetry_space_group_name_Hall 'I -4 2bw'
_cell_length_a 3.742
_cell_length_b 3.742
_cell_length_c 16.718
_cell_angle_alpha 90.00
_cell_angle_beta 90.00
_cell_angle_gamma 90.00
loop_
_atom_site_label
_atom_site_fract_x
_atom_site_fract_y
_atom_site_fract_z
Be1 0.000 0.000 0.000
Ir1 0.229 0.250 0.125
Ru1 0.000 0.000 0.500
```

# 4
VASP calculation (PBE-GGA) on an optimized crystal structure of Ca2HfH.

Properties
Crystal system: tetragonal
Volume in Å³/cell: 385.7
Energy in eV per atom: -3.944

The structure in CIF format:
```
data_Ca2HfH
_symmetry_space_group_name_H-M 'I -4 2 d'
_symmetry_Int_Tables_number 122
_symmetry_space_group_name_Hall 'I -4 2bw'
_cell_length_a 6.875
_cell_length_b 6.875
_cell_length_c 8.160
_cell_angle_alpha 90.00
_cell_angle_beta 90.00
_cell_angle_gamma 90.00
loop_
_atom_site_label
_atom_site_fract_x
_atom_site_fract_y
_atom_site_fract_z
Ca1 0.110 0.250 0.125
Hf1 0.000 0.000 0.500
H1 0.000 0.000 0.000
```

# 5
VASP calculation (PBE-GGA) on an optimized crystal structure of MgSb2P.

Properties
Crystal system: tetragonal
Volume in Å³/cell: 184.0
Energy in eV per atom: -3.576

The structure in CIF format:
```
data_MgSb2P
_symmetry_space_group_name_H-M 'I -4 m 2'
_symmetry_Int_Tables_number 119
_symmetry_space_group_name_Hall 'I -4 -2'
_cell_length_a 4.571
_cell_length_b 4.571
_cell_length_c 8.806
_cell_angle_alpha 90.00
_cell_angle_beta 90.00
_cell_angle_gamma 90.00
loop_
_atom_site_label
_atom_site_fract_x
_atom_site_fract_y
_atom_site_fract_z
Mg1 0.000 0.000 0.000
Sb1 0.000 0.000 0.500
Sb2 0.000 0.500 0.250
P1 0.000 0.500 0.750
```

# 6
VASP calculation (PBE-GGA) on an optimized crystal structure of AcPm6Ge2.

Properties
Energy of formation in eV per atom: -0.290
Crystal system: tetragonal
Volume in Å³/cell: 281.6

The structure in CIF format:
```
data_AcPm6Ge2
_symmetry_space_group_name_H-M 'P 4/m m m'
_symmetry_Int_Tables_number 123
_symmetry_space_group_name_Hall '-P 4 2'
_cell_length_a 4.804
_cell_length_b 4.804
_cell_length_c 12.199
_cell_angle_alpha 90.00
_cell_angle_beta 90.00
_cell_angle_gamma 90.00
loop_
_atom_site_label
_atom_site_fract_x
_atom_site_fract_y
_atom_site_fract_z
Ac1 0.000 0.000 0.000
Pm1 0.000 0.000 0.500
Pm2 0.000 0.500 0.267
Pm3 0.500 0.500 0.500
Ge1 0.500 0.500 0.105
```

# 7
VASP calculation (PBE-GGA) on an optimized crystal structure of LiThP2.

Properties
Energy of formation in eV per atom: -0.549
Crystal system: trigonal
Volume in Å³/cell: 370.9

The structure in CIF format:
```
data_LiThP2
_symmetry_space_group_name_H-M 'R -3 m'
_symmetry_Int_Tables_number 166
_symmetry_space_group_name_Hall '-R 3 2"'
_cell_length_a 4.3293
_cell_length_b 4.3293
_cell_length_c 22.8469
_cell_angle_alpha 90.00
_cell_angle_beta 90.00
_cell_angle_gamma 120.00
loop_
_atom_site_label
_atom_site_fract_x
_atom_site_fract_y
_atom_site_fract_z
Li1 0.0000 0.0000 0.0000
Th1 0.0000 0.0000 0.5000
P1 0.0000 0.0000 0.1050
```

# 8
VASP calculation (PBE-GGA) on an optimized crystal structure of LiGdTmPb.

Properties
Energy of formation in eV per atom: -0.257
Crystal system: cubic
Volume in Å³/cell: 419.6

The structure in CIF format:
```
data_LiGdTmPb
_symmetry_space_group_name_H-M 'F -4 3 m'
_symmetry_Int_Tables_number 216
_symmetry_space_group_name_Hall 'F -4 2 3'
_cell_length_a 7.486
_cell_length_b 7.486
_cell_length_c 7.486
_cell_angle_alpha 90.00
_cell_angle_beta 90.00
_cell_angle_gamma 90.00
loop_
_atom_site_label
_atom_site_fract_x
_atom_site_fract_y
_atom_site_fract_z
Li1 0.000 0.000 0.000
Gd1 0.250 0.250 0.250
Tm1 0.250 0.250 0.750
Pb1 0.000 0.000 0.500
```

# 9
VASP calculation (PBE-GGA) on an optimized crystal structure of ZnNi2Sb.

Properties
Crystal system: orthorhombic
Volume in Å³/cell: 113.9
Energy in eV per atom: -4.315

The structure in CIF format:
```
data_ZnNi2Sb
_symmetry_space_group_name_H-M 'C m m m'
_symmetry_Int_Tables_number 65
_symmetry_space_group_name_Hall '-C 2 2'
_cell_length_a 5.781
_cell_length_b 5.789
_cell_length_c 3.403
_cell_angle_alpha 90.00
_cell_angle_beta 90.00
_cell_angle_gamma 90.00
loop_
_atom_site_label
_atom_site_fract_x
_atom_site_fract_y
_atom_site_fract_z
Zn1 0.000 0.000 0.000
Ni1 0.250 0.250 0.500
Sb1 0.000 0.500 0.000
```

# 10
VASP calculation (PBE-GGA) on an optimized crystal structure of Tl2TcPd.

Properties
Energy of formation in eV per atom: 0.448
Crystal system: cubic
Volume in Å³/cell: 301.0

The structure in CIF format:
```
data_Tl2TcPd
_symmetry_space_group_name_H-M 'F m -3 m'
_symmetry_Int_Tables_number 225
_symmetry_space_group_name_Hall '-F 4 2 3'
_cell_length_a 6.702
_cell_length_b 6.702
_cell_length_c 6.702
_cell_angle_alpha 90.00
_cell_angle_beta 90.00
_cell_angle_gamma 90.00
loop_
_atom_site_label
_atom_site_fract_x
_atom_site_fract_y
_atom_site_fract_z
Tl1 0.250 0.250 0.250
Tc1 0.000 0.000 0.000
Pd1 0.000 0.000 0.500
```

# 11
VASP calculation (PBE-GGA) on an optimized crystal structure of Na2USe3.

Properties
Crystal system: orthorhombic
Volume in Å³/cell: 343.6
Energy in eV per atom: -5.238

The structure in CIF format:
```
data_Na2USe3
_symmetry_space_group_name_H-M 'C m m m'
_symmetry_Int_Tables_number 65
_symmetry_space_group_name_Hall '-C 2 2'
_cell_length_a 5.791
_cell_length_b 13.917
_cell_length_c 4.264
_cell_angle_alpha 90.00
_cell_angle_beta 90.00
_cell_angle_gamma 90.00
loop_
_atom_site_label
_atom_site_fract_x
_atom_site_fract_y
_atom_site_fract_z
Na1 0.000 0.150 0.000
U1 0.000 0.500 0.500
Se1 0.000 0.000 0.500
Se2 0.000 0.364 0.000
```

# 12
VASP calculation (PBE-GGA) on an optimized crystal structure of Pr5NdEr4.

Properties
Energy of formation in eV per atom: 0.017
Crystal system: triclinic
Volume in Å³/cell: 336.2

The structure in CIF format:
```
data_Pr5NdEr4
_symmetry_space_group_name_H-M 'P -1'
_symmetry_Int_Tables_number 2
_symmetry_space_group_name_Hall '-P 1'
_cell_length_a 3.637
_cell_length_b 9.565
_cell_length_c 10.264
_cell_angle_alpha 73.82
_cell_angle_beta 89.99
_cell_angle_gamma 79.13
loop_
_atom_site_label
_atom_site_fract_x
_atom_site_fract_y
_atom_site_fract_z
Pr1 0.000 0.000 0.000
Pr2 0.200 0.599 0.101
Pr3 0.398 0.202 0.695
Nd1 0.000 0.000 0.500
Er1 0.200 0.601 0.600
Er2 0.398 0.203 0.203
```

Which formula does entry 8 have? LiGdTmPb

Repeat the fourth record exactly.
VASP calculation (PBE-GGA) on an optimized crystal structure of Ca2HfH.

Properties
Crystal system: tetragonal
Volume in Å³/cell: 385.7
Energy in eV per atom: -3.944

The structure in CIF format:
```
data_Ca2HfH
_symmetry_space_group_name_H-M 'I -4 2 d'
_symmetry_Int_Tables_number 122
_symmetry_space_group_name_Hall 'I -4 2bw'
_cell_length_a 6.875
_cell_length_b 6.875
_cell_length_c 8.160
_cell_angle_alpha 90.00
_cell_angle_beta 90.00
_cell_angle_gamma 90.00
loop_
_atom_site_label
_atom_site_fract_x
_atom_site_fract_y
_atom_site_fract_z
Ca1 0.110 0.250 0.125
Hf1 0.000 0.000 0.500
H1 0.000 0.000 0.000
```